Material: NaLiBCl2
Method: DFT, PBE-GGA
State: optimized geometry

Values from the calculation:
Space-group type: No. 123
D(E_F) (states/eV per cell): 1.252
Raw formation energy (eV per atom): 0.18

Structure (POSCAR):
```
NaLiBCl2
1.0
5.3077 0.0000 0.0000
0.0000 4.8788 0.0000
0.0000 0.0000 5.3077
B Li Na Cl
1 1 1 2
Cartesian
0.0000 2.4394 0.0000
2.6539 2.4394 2.6539
0.0000 0.0000 0.0000
2.6539 0.0000 0.0000
0.0000 0.0000 2.6539
```